(1)
A relaxed LaCd2Pt crystal. Source: the Alexandria database, functional GGA-PBE.

POSCAR file:
```
LaCd2Pt
1.0
4.1670 0.0000 0.0000
0.0000 4.1670 0.0000
2.0835 2.0835 11.6975
Cd Pt La
4 2 2
direct
0.6407 0.1250 0.2500
0.1093 0.6250 0.2500
0.3750 0.3593 0.7500
0.8750 0.8907 0.7500
0.0000 0.0000 0.0000
0.7500 0.2500 0.5000
0.5000 0.5000 0.0000
0.2500 0.7500 0.5000
```

## Properties
**Space-group type**: No. 122
**E_tot**: -28.88 eV/cell

---

(2)
A relaxed Sm2Ga4SnPt3 crystal. Source: the Alexandria database, functional GGA-PBE.

POSCAR file:
```
Sm2Ga4SnPt3
1.0
-3.1367 -1.4803 2.5463
2.9424 -1.4113 2.8043
-0.3255 9.5092 5.1273
Sm Ga Sn Pt
2 4 1 3
direct
0.5000 0.0000 0.2356
0.0000 0.5000 0.7644
0.5000 0.5000 0.0000
0.0000 0.0000 0.0000
0.5000 0.0000 0.6510
0.0000 0.5000 0.3490
0.5000 0.5000 0.5000
0.0000 0.0000 0.5000
0.5000 0.0000 0.8755
0.0000 0.5000 0.1245
```

## Properties
**Space-group type**: No. 115
**E_tot**: -52.06 eV/cell